# La2TbPr6Dy3

A relaxed La2TbPr6Dy3 crystal (GGA-PBE, the Alexandria database).

a = 6.3654 Å, b = 6.3654 Å, c = 12.0947 Å
α = 95.04°, β = 95.04°, γ = 120.03°
Closest atoms and distances in Å follow each position.
Positions (direct):
La1 0.3333 0.6667 0.0000  3 La 3.67-3.68, 3 Tb 3.67-3.68, 6 Pr 3.70
La2 0.6667 0.3333 0.0000  3 La 3.67-3.68, 3 Tb 3.67-3.68, 6 Pr 3.70
Tb1 0.0000 0.0000 0.0000  6 La 3.67-3.68, 6 Pr 3.69-3.70
Pr1 0.9151 0.5830 0.7455  3 Dy 3.61-3.62, 6 Pr 3.66-3.68, 1 Tb 3.69, 2 La 3.70
Pr2 0.7525 0.7525 0.2547  3 Dy 3.61, 6 Pr 3.66-3.68, 1 Tb 3.70, 2 La 3.70
Pr3 0.0849 0.4170 0.2545  3 Dy 3.61-3.62, 6 Pr 3.66-3.68, 1 Tb 3.69, 2 La 3.70
Pr4 0.5830 0.9151 0.7455  3 Dy 3.61-3.62, 6 Pr 3.66-3.68, 1 Tb 3.69, 2 La 3.70
Pr5 0.2475 0.2475 0.7453  3 Dy 3.61, 6 Pr 3.66-3.68, 1 Tb 3.70, 2 La 3.70
Pr6 0.4170 0.0849 0.2545  3 Dy 3.61-3.62, 6 Pr 3.66-3.68, 1 Tb 3.69, 2 La 3.70
Dy1 0.1664 0.8336 0.5000  6 Pr 3.61-3.62, 6 Dy 3.67-3.68
Dy2 0.8336 0.1664 0.5000  6 Pr 3.61-3.62, 6 Dy 3.67-3.68
Dy3 0.5000 0.5000 0.5000  6 Pr 3.61, 6 Dy 3.67-3.68

Properties
**Energy of formation from the pure elements**: 17 meV/atom
**DOS at the Fermi energy**: 17.21 states/eV/f.u.

# HoTm2Sc3Se6

A relaxed HoTm2Sc3Se6 crystal (GGA-PBE, the Alexandria database).

a = 6.8538 Å, b = 6.8538 Å, c = 6.8521 Å
α = 99.54°, β = 99.54°, γ = 120.25°
Closest atoms and distances in Å follow each position.
Positions (direct):
Ho1 0.0000 0.0000 0.0000  6 Se 2.84-2.86
Tm1 0.3338 0.6662 0.0000  6 Se 2.82-2.84
Tm2 0.6662 0.3338 0.0000  6 Se 2.82-2.84
Sc1 0.1634 0.8366 0.5000  6 Se 2.74-2.77
Sc2 0.8366 0.1634 0.5000  6 Se 2.74-2.77
Sc3 0.5000 0.5000 0.5000  6 Se 2.74-2.76
Se1 0.9130 0.5765 0.7384  3 Sc 2.76-2.77, 2 Tm 2.83-2.84, 1 Ho 2.86
Se2 0.7505 0.7505 0.2598  3 Sc 2.74, 2 Tm 2.82, 1 Ho 2.84
Se3 0.0870 0.4235 0.2616  3 Sc 2.76-2.77, 2 Tm 2.83-2.84, 1 Ho 2.86
Se4 0.5765 0.9130 0.7384  3 Sc 2.76-2.77, 2 Tm 2.83-2.84, 1 Ho 2.86
Se5 0.2495 0.2495 0.7402  3 Sc 2.74, 2 Tm 2.82, 1 Ho 2.84
Se6 0.4235 0.0870 0.2616  3 Sc 2.76-2.77, 2 Tm 2.83-2.84, 1 Ho 2.86

Properties
**Formation energy from raw total energies**: -19.6 eV/f.u.
**DOS at the Fermi energy**: 6.33 states/eV/f.u.

# Tb5Pm

A relaxed Tb5Pm crystal (GGA-PBE, the Alexandria database).

a = 5.0551 Å, b = 5.0524 Å, c = 7.9981 Å
α = 108.41°, β = 90.00°, γ = 90.00°
Closest atoms and distances in Å follow each position.
Positions (direct):
Tb1 0.0000 0.6674 0.3349  10 Tb 3.56-3.58, 2 Pm 3.58
Tb2 0.0000 0.3326 0.6651  10 Tb 3.56-3.58, 2 Pm 3.58
Tb3 0.5000 0.5000 0.0000  4 Pm 3.57, 8 Tb 3.58
Tb4 0.5000 0.1670 0.3340  10 Tb 3.56-3.58, 2 Pm 3.58
Tb5 0.5000 0.8330 0.6660  10 Tb 3.56-3.58, 2 Pm 3.58
Pm1 0.0000 0.0000 0.0000  12 Tb 3.57-3.58

Properties
**Energy of formation from the pure elements**: 16 meV/atom
**DOS at the Fermi energy**: 8.21 states/eV/f.u.

# Tm4CuTe

A relaxed Tm4CuTe crystal (GGA-PBE, the Alexandria database).

a = 6.3104 Å, b = 7.0178 Å, c = 8.2470 Å
α = 101.85°, β = 112.49°, γ = 90.00°
Closest atoms and distances in Å follow each position.
Positions (direct):
Tm1 0.2726 0.1314 0.3409  2 Cu 2.76-2.78
Tm2 0.0683 0.6314 0.3409  2 Cu 2.76-2.78
Tm3 0.6854 0.9477 0.1695  1 Cu 2.64
Tm4 0.4841 0.4477 0.1695  1 Cu 2.64
Tm5 0.3146 0.0523 0.8305  1 Cu 2.64
Tm6 0.5159 0.5523 0.8305  1 Cu 2.64
Tm7 0.7274 0.8686 0.6591  2 Cu 2.76-2.78
Tm8 0.9317 0.3686 0.6591  2 Cu 2.76-2.78
Cu1 0.5000 0.5000 0.5000  6 Tm 2.64-2.78
Cu2 0.0000 0.0000 0.5000  6 Tm 2.64-2.78
Te1 0.1295 0.7500 0.0000  8 Tm 3.21-3.41
Te2 0.8705 0.2500 0.0000  8 Tm 3.21-3.41

Properties
**Formation energy from raw total energies**: -1.7 eV/f.u.
**Energy above the most stable polymorph in this dataset**: 119 kJ/mol of formula units
**DOS at the Fermi energy**: 7.41 states/eV/f.u.

# TaCd2Sb

A relaxed TaCd2Sb crystal (GGA-PBE, the Alexandria database).

a = 6.0192 Å, b = 6.0192 Å, c = 6.0192 Å
α = 146.75°, β = 134.57°, γ = 57.44°
Closest atoms and distances in Å follow each position.
Positions (direct):
Sb1 0.2500 0.7500 0.5000  4 Ta 2.89, 4 Cd 3.20
Cd1 0.9947 0.9947 0.0000  4 Cd 2.89, 2 Ta 3.10, 2 Sb 3.20
Cd2 0.5053 0.5053 0.0000  4 Cd 2.89, 2 Ta 3.10, 2 Sb 3.20
Ta1 0.7500 0.2500 0.5000  4 Sb 2.89, 4 Cd 3.10

Properties
**Formation energy from raw total energies**: 1.3 eV/f.u.
**DOS at the Fermi energy**: 2.40 states/eV/f.u.

# CePuBrN

A relaxed CePuBrN crystal (GGA-PBE, the Alexandria database).

a = 3.5913 Å, b = 3.5909 Å, c = 7.7586 Å
α = 90.05°, β = 103.37°, γ = 119.94°
Closest atoms and distances in Å follow each position.
Positions (direct):
Ce1 0.5150 0.1558 0.6857  3 N 2.52-2.53
Pu1 0.0887 0.9419 0.0461  3 N 2.42-2.43
Br1 0.9642 0.3804 0.3597  3 Pu 3.13, 3 Ce 3.20
N1 0.3101 0.5526 0.8782  3 Pu 2.42-2.43, 3 Ce 2.52-2.53

Properties
**Formation energy from raw total energies**: -5.0 eV/f.u.
**DOS at the Fermi energy**: 7.75 states/eV/f.u.

# TaBe2Re

A relaxed TaBe2Re crystal (GGA-PBE, the Alexandria database).

a = 4.7830 Å, b = 4.7830 Å, c = 4.4032 Å
α = 72.97°, β = 72.97°, γ = 31.55°
Closest atoms and distances in Å follow each position.
Positions (direct):
Re1 0.4737 0.4737 0.5577  7 Be 2.55-2.63, 2 Re 2.60, 1 Ta 2.78
Be1 0.0313 0.0313 0.0150  2 Be 2.25
Be2 0.7237 0.7237 0.7267  2 Be 2.25
Ta1 0.2713 0.2713 0.2006  7 Be 2.57-2.63, 2 Ta 2.60, 2 Re 2.78-2.88

Properties
**Energy above the most stable polymorph in this dataset**: 151 kJ/mol of formula units
**Energy of formation from the pure elements**: 9 meV/atom
**DOS at the Fermi energy**: 1.63 states/eV/f.u.

# MgIn2S4

A relaxed MgIn2S4 crystal (GGA-PBE, the Alexandria database).

a = 6.3891 Å, b = 7.6933 Å, c = 13.0652 Å
α = 90.00°, β = 90.00°, γ = 90.00°
Closest atoms and distances in Å follow each position.
Positions (direct):
Mg1 0.9264 0.2500 0.0965  4 S 2.42-2.46
Mg2 0.0736 0.7500 0.9035  4 S 2.42-2.46
Mg3 0.4264 0.7500 0.4035  4 S 2.42-2.46
Mg4 0.5736 0.2500 0.5965  4 S 2.42-2.46
In1 0.5000 0.0000 0.0000  6 S 2.59-2.70
In2 0.0000 0.0000 0.5000  6 S 2.59-2.70
In3 0.0000 0.5000 0.5000  6 S 2.59-2.70
In4 0.5000 0.5000 0.0000  6 S 2.59-2.70
In5 0.9964 0.7500 0.2295  6 S 2.59-2.79
In6 0.0036 0.2500 0.7705  6 S 2.59-2.79
In7 0.4964 0.2500 0.2705  6 S 2.59-2.79
In8 0.5036 0.7500 0.7295  6 S 2.59-2.79
S1 0.7369 0.0021 0.1684  1 Mg 2.45, 2 In 2.67
S2 0.2631 0.9979 0.8316  1 Mg 2.45, 2 In 2.67
S3 0.2369 0.9979 0.3316  1 Mg 2.45, 2 In 2.67
S4 0.7631 0.0021 0.6684  1 Mg 2.45, 2 In 2.67
S5 0.7631 0.4979 0.6684  1 Mg 2.45, 2 In 2.67
S6 0.2369 0.5021 0.3316  1 Mg 2.45, 2 In 2.67
S7 0.2631 0.5021 0.8316  1 Mg 2.45, 2 In 2.67
S8 0.7369 0.4979 0.1684  1 Mg 2.45, 2 In 2.67
S9 0.2434 0.7500 0.0725  1 Mg 2.46, 3 In 2.59-2.70
S10 0.7566 0.2500 0.9275  1 Mg 2.46, 3 In 2.59-2.70
S11 0.7434 0.2500 0.4275  1 Mg 2.46, 3 In 2.59-2.70
S12 0.2566 0.7500 0.5725  1 Mg 2.46, 3 In 2.59-2.70
S13 0.3048 0.2500 0.0915  1 Mg 2.42, 3 In 2.59-2.64
S14 0.6952 0.7500 0.9085  1 Mg 2.42, 3 In 2.59-2.64
S15 0.8048 0.7500 0.4085  1 Mg 2.42, 3 In 2.59-2.64
S16 0.1952 0.2500 0.5915  1 Mg 2.42, 3 In 2.59-2.64

Properties
**Formation energy from raw total energies**: -5.3 eV/f.u.

# ThGa3Rh3

A relaxed ThGa3Rh3 crystal (GGA-PBE, the Alexandria database).

a = 6.6780 Å, b = 6.6780 Å, c = 6.6780 Å
α = 90.00°, β = 90.00°, γ = 90.00°
Closest atoms and distances in Å follow each position.
Positions (direct):
Rh1 0.2500 0.0000 0.5000  4 Ga 2.36
Rh2 0.0000 0.5000 0.2500  4 Ga 2.36
Rh3 0.5000 0.7500 0.0000  4 Ga 2.36
Rh4 0.7500 0.0000 0.5000  4 Ga 2.36
Rh5 0.0000 0.5000 0.7500  4 Ga 2.36
Rh6 0.5000 0.2500 0.0000  4 Ga 2.36
Ga1 0.0000 0.2500 0.5000  4 Rh 2.36
Ga2 0.0000 0.7500 0.5000  4 Rh 2.36
Ga3 0.5000 0.0000 0.7500  4 Rh 2.36
Ga4 0.7500 0.5000 0.0000  4 Rh 2.36
Ga5 0.5000 0.0000 0.2500  4 Rh 2.36
Ga6 0.2500 0.5000 0.0000  4 Rh 2.36
Th1 0.5000 0.5000 0.5000  12 Ga 3.73, 12 Rh 3.73
Th2 0.0000 0.0000 0.0000  12 Ga 3.73, 12 Rh 3.73

Properties
**Energy above the most stable polymorph in this dataset**: 319 kJ/mol of formula units
**Energy of formation from the pure elements**: -167 meV/atom
**DOS at the Fermi energy**: 5.25 states/eV/f.u.

# RbBa2IO

A relaxed RbBa2IO crystal (GGA-PBE, the Alexandria database).

a = 6.7970 Å, b = 4.9655 Å, c = 6.7970 Å
α = 90.00°, β = 90.00°, γ = 90.00°
Closest atoms and distances in Å follow each position.
Positions (direct):
I1 0.0000 0.0000 0.0000  2 O 2.48
O1 0.0000 0.5000 0.0000  2 I 2.48
Ba1 0.0000 0.0000 0.5000  2 I 3.40
Ba2 0.5000 0.0000 0.0000  2 I 3.40
Rb1 0.5000 0.5000 0.5000  8 Ba 4.21

Properties
**Formation energy from raw total energies**: -1.1 eV/f.u.
**DOS at the Fermi energy**: 4.88 states/eV/f.u.

# DyYAlGe

A relaxed DyYAlGe crystal (GGA-PBE, the Alexandria database).

a = 4.3636 Å, b = 4.0229 Å, c = 5.8686 Å
α = 90.00°, β = 111.83°, γ = 90.00°
Closest atoms and distances in Å follow each position.
Positions (direct):
Dy1 0.8580 0.5000 0.7161  4 Al 3.05, 3 Ge 3.06-3.24
Y1 0.1400 0.0000 0.2800  4 Ge 3.04, 3 Al 3.10-3.20
Al1 0.4246 0.0000 0.8492  2 Ge 2.61
Ge1 0.5774 0.5000 0.1548  2 Al 2.61

Properties
**Energy of formation from the pure elements**: -710 meV/atom
**DOS at the Fermi energy**: 3.41 states/eV/f.u.

# La5Sc4Sn4

A relaxed La5Sc4Sn4 crystal (GGA-PBE, the Alexandria database).

a = 4.5346 Å, b = 9.5631 Å, c = 9.5631 Å
α = 86.78°, β = 76.29°, γ = 76.29°
Closest atoms and distances in Å follow each position.
Positions (direct):
La1 0.7054 0.9233 0.6659  5 Sn 3.34-3.44, 2 Sc 3.63
La2 0.2946 0.0767 0.3341  5 Sn 3.34-3.44, 2 Sc 3.63
La3 0.0000 0.0000 0.0000  4 Sn 3.39
La4 0.6287 0.6659 0.0767  5 Sn 3.34-3.44, 2 Sc 3.63
La5 0.3713 0.3341 0.9233  5 Sn 3.34-3.44, 2 Sc 3.63
Sc1 0.9062 0.5122 0.6754  3 Sn 3.02-3.06, 5 Sc 3.24-3.27
Sc2 0.5816 0.3246 0.5122  3 Sn 3.02-3.06, 5 Sc 3.24-3.27
Sc3 0.0938 0.4878 0.3246  3 Sn 3.02-3.06, 5 Sc 3.24-3.27
Sc4 0.4184 0.6754 0.4878  3 Sn 3.02-3.06, 5 Sc 3.24-3.27
Sn1 0.7497 0.3138 0.1868  3 Sc 3.02-3.06, 2 La 3.34
Sn2 0.2503 0.6862 0.8132  3 Sc 3.02-3.06, 2 La 3.34
Sn3 0.9365 0.8132 0.3138  3 Sc 3.02-3.06, 2 La 3.34
Sn4 0.0635 0.1868 0.6862  3 Sc 3.02-3.06, 2 La 3.34

Properties
**Energy of formation from the pure elements**: -574 meV/atom
**DOS at the Fermi energy**: 17.09 states/eV/f.u.

Number 1: M_tot 0.0 Bohr magnetons per cell. Number 2: M_tot 0.0 Bohr magnetons per cell. Number 3: M_tot 0.0 Bohr magnetons per cell. Number 4: M_tot 0.0 Bohr magnetons per cell. Number 5: M_tot 0.0 Bohr magnetons per cell. Number 6: M_tot 6.3 Bohr magnetons per cell. Number 7: M_tot 0.0 Bohr magnetons per cell. Number 8: M_tot 0.0 Bohr magnetons per cell. Number 9: M_tot 0.0 Bohr magnetons per cell. Number 10: M_tot 0.7 Bohr magnetons per cell. Number 11: M_tot 0.0 Bohr magnetons per cell. Number 12: M_tot 3.0 Bohr magnetons per cell.